A plane-wave DFT calculation with PBE-GGA was carried out for a relaxed NaVS2 crystal.

Lattice parameters (Å, degrees): 4.480 4.480 4.480 60.00 60.00 60.00
Fractional positions:
Na (0.000, 0.000, 0.000)
S (0.750, 0.750, 0.750)
S (0.250, 0.250, 0.250)
V (0.500, 0.500, 0.500)

Properties
ΔE_f (raw) ... -0.5285 eV/atom

A plane-wave DFT calculation with PBE-GGA was carried out for a relaxed Mg4Pd3Pt crystal.

Lattice parameters (Å, degrees): 4.493 4.493 7.788 73.23 73.23 60.00
Fractional positions:
Mg (0.876, 0.876, 0.373)
Mg (0.625, 0.625, 0.124)
Mg (0.124, 0.124, 0.627)
Mg (0.375, 0.375, 0.876)
Pt (0.000, 0.000, 0.000)
Pd (0.751, 0.751, 0.748)
Pd (0.500, 0.500, 0.500)
Pd (0.249, 0.249, 0.252)

Properties
ΔH_f (0 K) ... -0.77 eV/atom

A plane-wave DFT calculation with PBE-GGA was carried out for a relaxed CrB2W crystal.

Lattice parameters (Å, degrees): 4.389 4.389 3.011 90.00 90.00 138.99
Fractional positions:
B (0.558, 0.442, 0.000)
B (0.435, 0.565, 0.500)
W (0.149, 0.851, 0.500)
Cr (0.859, 0.141, 0.000)

Properties
ΔH_f (0 K) ... -0.44 eV/atom
Energy above the most stable polymorph in this dataset ... 0 meV/atom

A plane-wave DFT calculation with PBE-GGA was carried out for a relaxed LiTbGaAu crystal.

Lattice parameters (Å, degrees): 4.841 4.841 4.841 60.00 60.00 60.00
Fractional positions:
Li (0.500, 0.500, 0.500)
Tb (0.000, 0.000, 0.000)
Ga (0.250, 0.250, 0.250)
Au (0.750, 0.750, 0.750)

Properties
ΔH_f (0 K) ... -0.58 eV/atom
Energy above the most stable polymorph in this dataset ... 31 meV/atom

A plane-wave DFT calculation with PBE-GGA was carried out for a relaxed SrHoMnS4 crystal.

Lattice parameters (Å, degrees): 6.575 6.177 8.188 90.00 107.41 90.00
Fractional positions:
Sr (0.741, 0.750, 0.939)
Sr (0.259, 0.250, 0.061)
S (0.433, 0.750, 0.135)
S (0.989, 0.008, 0.273)
S (0.567, 0.250, 0.865)
S (0.561, 0.250, 0.405)
S (0.439, 0.750, 0.595)
S (0.011, 0.508, 0.727)
S (0.989, 0.492, 0.273)
S (0.011, 0.992, 0.727)
Ho (0.760, 0.750, 0.441)
Ho (0.240, 0.250, 0.559)
Mn (0.764, 0.250, 0.679)
Mn (0.236, 0.750, 0.321)

Properties
ΔE_f (raw) ... -1.4811 eV/atom

A plane-wave DFT calculation with PBE-GGA was carried out for a relaxed InSbHI2 crystal.

Lattice parameters (Å, degrees): 6.080 6.080 5.804 90.00 90.00 90.00
Fractional positions:
I (0.000, 0.500, 0.000)
I (0.500, 0.000, 0.000)
In (0.000, 0.000, 0.000)
H (0.500, 0.500, 0.500)
Sb (0.000, 0.000, 0.500)

Properties
Energy above the most stable polymorph in this dataset ... 454 meV/atom